1.
{
  "formula": "Ta2AgSe4",
  "functional": "PBE-GGA",
  "state": "optimized geometry",
  "lattice": [[-3.8691, 3.8692, 5.4750], [3.8691, -3.8692, 5.4750], [3.8691, 3.8692, -5.4750]],
  "species": ["Ta", "Ta", "Ta", "Ta", "Ag", "Ag", "Se", "Se", "Se", "Se", "Se", "Se", "Se", "Se"],
  "frac_coords": [[0.2192, 0.0000, 0.2192], [0.7802, 0.0006, 0.2203], [0.7802, 0.5599, 0.7797], [0.7808, 0.0000, 0.7808], [0.1407, 0.6407, 0.5000], [0.3909, 0.3909, 0.0000], [0.0112, 0.2542, 0.2430], [0.0112, 0.7682, 0.7570], [0.0110, 0.7690, 0.2420], [0.5270, 0.7690, 0.7580], [0.5295, 0.2504, 0.2791], [0.5300, 0.2500, 0.7200], [0.5300, 0.8100, 0.2800], [0.9713, 0.2504, 0.7209]],
  "formation_energy_uncorrected_ev_per_atom": -0.476,
  "m_tot_mub_per_cell": 0.00,
  "dos_ef_per_ev_cell": 4.1
}


2.
{
  "formula": "Ta2AgSe",
  "functional": "PBE-GGA",
  "state": "optimized geometry",
  "lattice": [[-1.6482, 2.3905, 4.5492], [1.6482, -2.3905, 4.5492], [1.6482, 2.3905, -4.5492]],
  "species": ["Ta", "Ta", "Ag", "Se"],
  "frac_coords": [[0.2309, 0.2309, 0.0000], [0.7691, 0.7691, 0.0000], [0.5000, 0.0000, 0.5000], [0.0000, 0.5000, 0.5000]],
  "formation_energy_uncorrected_ev_per_atom": 0.262,
  "m_tot_mub_per_cell": 0.00,
  "dos_ef_per_ev_cell": 2.5
}


- Number 2 is which compound?
  Ta2AgSe


- Which formula does entry 1 have?
  Ta2AgSe4


Repeat the second record exactly.
{
  "formula": "Ta2AgSe",
  "functional": "PBE-GGA",
  "state": "optimized geometry",
  "lattice": [[-1.6482, 2.3905, 4.5492], [1.6482, -2.3905, 4.5492], [1.6482, 2.3905, -4.5492]],
  "species": ["Ta", "Ta", "Ag", "Se"],
  "frac_coords": [[0.2309, 0.2309, 0.0000], [0.7691, 0.7691, 0.0000], [0.5000, 0.0000, 0.5000], [0.0000, 0.5000, 0.5000]],
  "formation_energy_uncorrected_ev_per_atom": 0.262,
  "m_tot_mub_per_cell": 0.00,
  "dos_ef_per_ev_cell": 2.5
}